Material: NaSr2MoF8
Method: DFT, PBE with a Hubbard U
State: relaxed

The structure in CIF format:
```
data_NaSr2MoF8
_chemical_formula_sum 'Na1 Sr2 Mo1 F8'
_space_group_name_H-M_alt 'P 1 2/m 1'
_space_group_IT_number 10
_space_group_name_Hall '-P 2y'
_cell_length_a 4.3293
_cell_length_b 7.8745
_cell_length_c 5.6044
_cell_angle_alpha 90.00
_cell_angle_beta 95.79
_cell_angle_gamma 90.00
loop_
_atom_site_label
_atom_site_fract_x
_atom_site_fract_y
_atom_site_fract_z
Na1 0.0000 0.0000 0.0000
Sr1 0.5000 0.2464 0.5000
Mo1 0.0000 0.5000 0.0000
F1 0.0576 0.2913 0.7629
F2 0.4202 0.5000 0.2276
F3 0.4283 0.0000 0.2521
```

Crystal system: monoclinic
Magnetization: 3.0 μB/cell
Total energy: -5.50 eV per atom
DOS(E_F): 0.0 states/eV per cell